Below is a relaxed structure of BeNiHO2, with properties calculated at the GGA+U level.

The total energy comes out at -3.983 eV/atom. The value obtained for the size of the total moment is 1.58 μB/f.u. Its space group is P4/mmm (123).

a = 3.0893 Å, b = 5.5966 Å, c = 3.0893 Å
α = 90.00°, β = 90.00°, γ = 90.00°
Closest atoms and distances in Å follow each position.
Element x y z (fractional)
Ni 0.0000 0.5000 0.0000  4 H 2.18
H 0.5000 0.5000 0.5000  4 Ni 2.18
O 0.0000 0.0000 0.5000  2 Be 1.54
O 0.5000 0.0000 0.0000  2 Be 1.54
Be 0.0000 0.0000 0.0000  4 O 1.54